# 1
Entry from the Alexandria database: a relaxed Sr3CaAu4 crystal (PBE-GGA).

E_tot = -3.253 eV/atom
Formation energy = -0.73 eV per atom
Crystal system = cubic
Space group = Im-3m, No. 229

Cell lengths 6.5714, 6.5714, 6.5714 Å; angles 109.47, 109.47, 109.47 degrees
Sites, in units of the cell vectors:
1 Sr 0.0000 0.5000 0.5000
2 Sr 0.5000 0.0000 0.5000
3 Sr 0.5000 0.5000 0.0000
4 Ca 0.0000 0.0000 0.0000
5 Au 0.0000 0.0000 0.4999
6 Au 0.5001 0.5001 0.5001
7 Au 0.4999 0.0000 0.0000
8 Au 0.0000 0.4999 0.0000

# 2
Entry from the Alexandria database: a relaxed PrZnInRh crystal (PBE-GGA).

E_tot = -4.429 eV/atom
Formation energy = -0.39 eV per atom
Crystal system = cubic
Space group = F-43m, No. 216

Cell lengths 4.8993, 4.8993, 4.8993 Å; angles 60.00, 60.00, 60.00 degrees
Sites, in units of the cell vectors:
1 Pr 0.0000 0.0000 0.0000
2 Zn 0.2500 0.2500 0.2500
3 Rh 0.7500 0.7500 0.7500
4 In 0.5000 0.5000 0.5000

# 3
Entry from the Alexandria database: a relaxed Pr3Al3Cu2 crystal (PBE-GGA).

E_tot = -4.561 eV/atom
Energy above the lowest structure with this stoichiometry = 0.0 meV per atom
Formation energy = -0.34 eV per atom
Crystal system = orthorhombic
Space group = Cmcm, No. 63

Cell lengths 4.5903, 5.7088, 15.1815 Å; angles 90.00, 90.00, 113.71 degrees
Sites, in units of the cell vectors:
1 Pr 0.9018 0.8037 0.3889
2 Pr 0.0982 0.1963 0.8889
3 Pr 0.9018 0.8037 0.1111
4 Pr 0.0982 0.1963 0.6111
5 Pr 0.6039 0.2078 0.2500
6 Pr 0.3961 0.7922 0.7500
7 Al 0.6196 0.2393 0.4650
8 Al 0.3804 0.7607 0.9650
9 Al 0.6196 0.2393 0.0350
10 Al 0.3804 0.7607 0.5350
11 Al 0.3043 0.6085 0.2500
12 Al 0.6957 0.3915 0.7500
13 Cu 0.8001 0.6003 0.9040
14 Cu 0.1999 0.3997 0.4040
15 Cu 0.8001 0.6003 0.5960
16 Cu 0.1999 0.3997 0.0960

# 4
Entry from the Alexandria database: a relaxed YTcPb3 crystal (PBE-GGA).

E_tot = -4.275 eV/atom
Energy above the lowest structure with this stoichiometry = 897.5 meV per atom
Formation energy = 1.32 eV per atom
Crystal system = cubic
Space group = Pm-3m, No. 221

Cell lengths 5.8085, 5.8085, 5.8085 Å; angles 90.00, 90.00, 90.00 degrees
Sites, in units of the cell vectors:
1 Pb 0.0000 0.5000 0.0000
2 Pb 0.0000 0.0000 0.5000
3 Pb 0.5000 0.0000 0.0000
4 Y 0.0000 0.0000 0.0000
5 Tc 0.5000 0.5000 0.5000

# 5
Entry from the Alexandria database: a relaxed Tb2Sm4In crystal (PBE-GGA).

E_tot = -4.435 eV/atom
Energy above the lowest structure with this stoichiometry = 44.6 meV per atom
Formation energy = -0.02 eV per atom
Crystal system = monoclinic
Space group = P2_1/c, No. 14

Cell lengths 10.9185, 6.5075, 9.1244 Å; angles 135.62, 90.00, 90.00 degrees
Sites, in units of the cell vectors:
1 Tb 0.0317 0.7978 0.2514
2 Tb 0.9683 0.2022 0.7486
3 Tb 0.5317 0.7022 0.7486
4 Tb 0.4683 0.2978 0.2514
5 Sm 0.7384 0.8587 0.0958
6 Sm 0.8450 0.5337 0.5741
7 Sm 0.6550 0.0337 0.5741
8 Sm 0.7616 0.3587 0.0958
9 Sm 0.2384 0.6413 0.9042
10 Sm 0.3450 0.9663 0.4259
11 Sm 0.1550 0.4663 0.4259
12 Sm 0.2616 0.1413 0.9042
13 In 0.0000 0.0000 0.0000
14 In 0.5000 0.5000 0.0000

# 6
Entry from the Alexandria database: a relaxed RbTiNiMo2 crystal (PBE-GGA).

E_tot = -4.265 eV/atom
Formation energy = 3.00 eV per atom
Crystal system = tetragonal
Space group = P4/mmm, No. 123

Cell lengths 4.6539, 4.6539, 4.5524 Å; angles 90.00, 90.00, 90.00 degrees
Sites, in units of the cell vectors:
1 Ni 0.5000 0.5000 0.5000
2 Mo 0.0000 0.5000 0.0000
3 Mo 0.5000 0.0000 0.0000
4 Rb 0.0000 0.0000 0.0000
5 Ti 0.0000 0.0000 0.5000

# 7
Entry from the Alexandria database: a relaxed Th8Tc3Au2 crystal (PBE-GGA).

E_tot = -7.585 eV/atom
Formation energy = -0.12 eV per atom
Crystal system = monoclinic
Space group = P2/m, No. 10

Cell lengths 5.2934, 9.4975, 8.7864 Å; angles 122.54, 90.00, 90.00 degrees
Sites, in units of the cell vectors:
1 Th 0.0000 0.6162 0.2321
2 Th 0.0000 0.3838 0.7679
3 Th 0.0000 0.1226 0.2449
4 Th 0.0000 0.8774 0.7551
5 Th 0.5000 0.6467 0.7689
6 Th 0.5000 0.1206 0.7672
7 Th 0.5000 0.8794 0.2328
8 Th 0.5000 0.3533 0.2311
9 Tc 0.5000 0.0000 0.0000
10 Tc 0.0000 0.2500 0.9994
11 Tc 0.0000 0.7500 0.0006
12 Au 0.5000 0.2664 0.5316
13 Au 0.5000 0.7336 0.4684

# 8
Entry from the Alexandria database: a relaxed B5C7 crystal (PBE-GGA).

E_tot = -7.786 eV/atom
Energy above the lowest structure with this stoichiometry = 118.5 meV per atom
Formation energy = 0.38 eV per atom
Crystal system = monoclinic
Space group = Cm, No. 8

Cell lengths 5.6262, 5.6262, 5.4769 Å; angles 98.87, 98.87, 26.73 degrees
Sites, in units of the cell vectors:
1 B 0.9953 0.9953 0.9963
2 B 0.9001 0.9001 0.2799
3 B 0.3341 0.3341 0.1024
4 B 0.2843 0.2843 0.3829
5 B 0.6566 0.6566 0.3119
6 C 0.0028 0.0028 0.5236
7 C 0.9175 0.9175 0.7207
8 C 0.5842 0.5842 0.5510
9 C 0.3376 0.3376 0.6716
10 C 0.2438 0.2438 0.8507
11 C 0.6621 0.6621 0.8208
12 C 0.5817 0.5817 0.0381